BaZrRe2 (PBEsol, optimized geometry); formation energy = 0.71 eV/atom; DOS(E_F) = 1.12 states/eV per atom; ΔE to the lowest computed polymorph = 0.07 eV/f.u.; volume = 95 Å³ per cell; E_tot = -8.76 eV per atom
1.0
4.884 -1.633 0.000
4.884 1.633 0.000
-1.460 0.000 5.924
Ba Zr Re
1 1 2
Direct
0.000 0.000 0.000 Ba
0.800 0.800 0.355 Zr
0.219 0.219 0.649 Re
0.528 0.528 0.532 Re